Compound: CrSnO2
Source: Alexandria via LeMat-Bulk
Functional: PBE+U
Structure: relaxed

CIF file:
```
data_CrSnO2
_cell_length_a 3.1121
_cell_length_b 3.1121
_cell_length_c 13.2891
_cell_angle_alpha 90.00
_cell_angle_beta 90.00
_cell_angle_gamma 120.00
_symmetry_space_group_name_H-M 'P 63/m m c'
_symmetry_Int_Tables_number 194
_symmetry_space_group_name_Hall '-P 6c 2c'
loop_
_atom_site_label
_atom_site_type_symbol
_atom_site_fract_x
_atom_site_fract_y
_atom_site_fract_z
Cr1 Cr 0.0000 0.0000 0.0000
Sn1 Sn 0.3333 0.6667 0.2500
O1 O 0.3333 0.6667 0.0751
```

VASP energy: -0.25251 hartree per atom
volume: 56 Å³/f.u.
total magnetization: 0.746 μB/atom